Record 1
A plane-wave DFT calculation with PBE was carried out for crystalline Co3Ir3Os at its relaxed geometry.

Space-group type: P6_3/m

a = 4.249 Å, b = 7.026 Å, c = 7.026 Å
α = 120.00°, β = 90.00°, γ = 90.00°
Last column: magnetic moment on the atom in μB.
Sites, in units of the cell vectors:
Co: 0.250 0.381 0.483  1.20
Co: 0.750 0.619 0.517  1.20
Ir: 0.750 0.200 0.251  0.13
Ir: 0.750 0.051 0.800  0.13
Os: 0.750 0.333 0.667  -0.08
Co: 0.750 0.898 0.381  1.20
Co: 0.750 0.483 0.102  1.20
Ir: 0.250 0.949 0.200  0.13
Co: 0.250 0.102 0.619  1.20
Ir: 0.250 0.251 0.051  0.13
Ir: 0.750 0.749 0.949  0.13
Os: 0.250 0.667 0.333  -0.08
Co: 0.250 0.517 0.898  1.20
Ir: 0.250 0.800 0.749  0.13

=====

Record 2
A plane-wave DFT calculation with PBE was carried out for crystalline BeAl2Cr2 at its relaxed geometry.

Space-group type: P4/mbm

a = 5.738 Å, b = 5.738 Å, c = 3.965 Å
α = 90.00°, β = 90.00°, γ = 90.00°
Last column: magnetic moment on the atom in μB.
Sites, in units of the cell vectors:
Cr: 0.138 0.362 0.000  0.35
Cr: 0.862 0.638 0.000  0.35
Be: 0.000 0.000 0.000  0.00
Al: 0.165 0.665 0.500  -0.01
Be: 0.500 0.500 0.000  0.00
Al: 0.665 0.835 0.500  -0.01
Cr: 0.638 0.138 0.000  0.35
Al: 0.335 0.165 0.500  -0.01
Al: 0.835 0.335 0.500  -0.01
Cr: 0.362 0.862 0.000  0.35

=====

no.,calculated formation energy (eV per atom),magnetization (Bohr magnetons per cell),VASP energy (eV/f.u.)
1,0.059,7.73,-58.72
2,0.101,1.46,-29.95